Compound: La6Er5
Source: Alexandria via LeMat-Bulk
Functional: PBE-GGA
Structure: relaxed

The total magnetization is 0.00 μB per formula unit. As for the density of states at the Fermi level: 35.24 states/eV per cell. The value obtained for the energy relative to the elements is 1.2 eV per formula unit. The value obtained for the uncorrected energy is -4.651 eV per atom.

The space group is C2/m (No. 12) and the conventional cell measures 10.0695, 16.1443 and 5.6707 Å, with angles of 90.00, 124.23 and 90.00 degrees. The asymmetric unit holds La at (0.2079, 0.0000, 0.2082), La at (0.2096, 0.1407, 0.7094), Er at (0.0000, 0.2012, 0.0000), Er at (0.0000, 0.3389, 0.5000) and Er at (0.0000, 0.5000, 0.0000).

---

Compound: LaEr3
Source: Alexandria via LeMat-Bulk
Functional: PBE-GGA
Structure: relaxed

The total magnetization is 0.00 μB per formula unit. As for the density of states at the Fermi level: 7.58 states/eV per cell. The value obtained for the energy relative to the elements is 0.1 eV per formula unit. The value obtained for the uncorrected energy is -4.620 eV per atom.

The space group is Pmm2 (No. 25) and the conventional cell measures 3.6469, 5.7161 and 6.2430 Å, with angles of 90.00, 90.00 and 90.00 degrees. The asymmetric unit holds La at (0.0000, 0.0000, 0.0000), Er at (0.0000, 0.5000, 0.3412), Er at (0.5000, 0.0000, 0.5035) and Er at (0.5000, 0.5000, 0.8367).